[1]
A plane-wave DFT calculation with PBE-GGA was carried out for a geometry-optimized CaCrP structure.

Structure (POSCAR):
```
CaCrP
1.0
4.439 -2.064 0.000
4.439 2.064 0.000
-0.673 0.000 6.397
Ca Cr P
2 2 2
Cartesian
0.930 0.000 2.039 Ca
7.274 0.000 4.358 Ca
3.475 0.000 0.328 Cr
4.729 0.000 6.069 Cr
1.013 0.000 5.127 P
7.191 0.000 1.271 P
```

Magnetic moment   0.000 μB per atom
E   -0.2253 hartree per atom
Energy relative to the elements   -0.4512 eV per atom
SG   No. 12

[2]
A plane-wave DFT calculation with PBE-GGA was carried out for a geometry-optimized CaCrP structure.

Structure (POSCAR):
```
CaCrP
1.0
3.489 0.000 0.000
1.743 3.765 0.000
1.726 0.581 9.656
Ca Cr P
2 2 2
Cartesian
0.000 0.000 0.000 Ca
1.725 1.656 3.329 Ca
1.724 1.376 6.339 Cr
5.211 3.560 6.974 Cr
3.467 3.021 5.283 P
3.469 1.992 7.928 P
```

Magnetic moment   0.037 μB per atom
E   -0.2220 hartree per atom
Energy relative to the elements   -0.3637 eV per atom
SG   No. 1

[3]
A plane-wave DFT calculation with PBE-GGA was carried out for a geometry-optimized Ca2CrP structure.

Structure (POSCAR):
```
Ca2CrP
1.0
-1.761 2.453 5.495
1.761 -2.453 5.495
1.761 2.453 -5.495
Ca Cr P
2 1 1
Cartesian
0.000 0.000 0.000 Ca
0.000 2.453 2.212 Ca
1.761 0.000 3.489 Cr
0.000 0.000 5.112 P
```

Magnetic moment   0.761 μB per atom
E   -0.1831 hartree per atom
Energy relative to the elements   -0.2241 eV per atom
SG   No. 44

[4]
A plane-wave DFT calculation with PBE-GGA was carried out for a geometry-optimized Ca3CrP structure.

Structure (POSCAR):
```
Ca3CrP
1.0
5.497 0.000 0.000
0.000 5.497 0.000
0.000 0.000 5.497
Ca Cr P
3 1 1
Cartesian
0.000 0.000 2.749 Ca
0.000 2.749 0.000 Ca
2.749 0.000 0.000 Ca
2.749 2.749 2.749 Cr
0.000 0.000 0.000 P
```

Magnetic moment   1.182 μB per atom
E   -0.1589 hartree per atom
Energy relative to the lowest polymorph listed for this composition   0.0000 eV per atom
Energy relative to the elements   -0.1150 eV per atom
SG   No. 221

[5]
A plane-wave DFT calculation with PBE-GGA was carried out for a geometry-optimized CaCrP structure.

Structure (POSCAR):
```
CaCrP
1.0
5.219 -2.086 0.000
5.219 2.086 0.000
-1.536 0.000 5.917
Ca Cr P
2 2 2
Cartesian
0.000 0.000 0.000 Ca
6.038 0.000 3.557 Ca
3.199 0.000 2.017 Cr
7.582 0.000 0.885 Cr
1.364 0.000 5.601 P
9.075 0.000 2.838 P
```

Magnetic moment   0.163 μB per atom
E   -0.2258 hartree per atom
Energy relative to the elements   -0.4668 eV per atom
SG   No. 8

[6]
A plane-wave DFT calculation with PBE-GGA was carried out for a geometry-optimized CaCr4P structure.

Structure (POSCAR):
```
CaCr4P
1.0
0.000 3.488 3.488
3.488 0.000 3.488
3.488 3.488 0.000
Ca Cr P
1 4 1
Cartesian
0.000 0.000 0.000 Ca
2.633 2.633 2.633 Cr
4.344 4.344 2.633 Cr
4.344 2.633 4.344 Cr
2.633 4.344 4.344 Cr
5.232 5.232 5.232 P
```

Magnetic moment   0.000 μB per atom
E   -0.2601 hartree per atom
Energy relative to the elements   0.5725 eV per atom
SG   No. 216

[7]
A plane-wave DFT calculation with PBE-GGA was carried out for a geometry-optimized Ca2CrP structure.

Structure (POSCAR):
```
Ca2CrP
1.0
3.545 0.000 0.000
0.000 3.790 0.000
0.000 0.000 7.149
Ca Cr P
2 1 1
Cartesian
0.000 0.000 1.537 Ca
0.000 0.000 5.612 Ca
1.772 1.895 3.574 Cr
1.772 1.895 0.000 P
```

Magnetic moment   1.228 μB per atom
E   -0.1795 hartree per atom
Energy relative to the elements   -0.1262 eV per atom
SG   No. 47

[8]
A plane-wave DFT calculation with PBE-GGA was carried out for a geometry-optimized Ca2CrP structure.

Structure (POSCAR):
```
Ca2CrP
1.0
2.104 1.214 7.752
-2.104 1.214 7.752
0.000 -2.429 7.752
Ca Cr P
2 1 1
Cartesian
0.000 0.000 5.319 Ca
0.000 0.000 17.936 Ca
0.000 0.000 0.000 Cr
0.000 0.000 11.628 P
```

Magnetic moment   1.277 μB per atom
E   -0.1781 hartree per atom
Energy relative to the elements   -0.0860 eV per atom
SG   No. 166

[9]
A plane-wave DFT calculation with PBE-GGA was carried out for a geometry-optimized CaCrP structure.

Structure (POSCAR):
```
CaCrP
1.0
0.000 3.214 3.214
3.214 0.000 3.214
3.214 3.214 0.000
Ca Cr P
1 1 1
Cartesian
0.000 0.000 0.000 Ca
3.214 3.214 3.214 Cr
1.607 1.607 1.607 P
```

Magnetic moment   1.587 μB per atom
E   -0.2191 hartree per atom
Energy relative to the elements   -0.2837 eV per atom
SG   No. 216

[10]
A plane-wave DFT calculation with PBE-GGA was carried out for a geometry-optimized Ca2CrP structure.

Structure (POSCAR):
```
Ca2CrP
1.0
3.269 0.000 0.000
0.000 3.269 0.000
0.000 0.000 8.321
Ca Cr P
2 1 1
Cartesian
0.000 0.000 0.000 Ca
1.635 1.635 3.330 Ca
0.000 0.000 5.493 Cr
1.635 1.635 6.293 P
```

Magnetic moment   0.281 μB per atom
E   -0.1791 hartree per atom
Energy relative to the elements   -0.1152 eV per atom
SG   No. 99

[11]
A plane-wave DFT calculation with PBE-GGA was carried out for a geometry-optimized CaCrP structure.

Structure (POSCAR):
```
CaCrP
1.0
-2.115 2.157 7.269
2.115 -2.157 7.269
2.115 2.157 -7.269
Ca Cr P
2 2 2
Cartesian
0.000 0.000 2.309 Ca
0.000 0.000 12.230 Ca
2.115 0.891 0.000 Cr
0.000 1.266 7.269 Cr
0.000 0.000 5.256 P
0.000 0.000 9.282 P
```

Magnetic moment   0.000 μB per atom
E   -0.2218 hartree per atom
Energy relative to the elements   -0.3574 eV per atom
SG   No. 71

[12]
A plane-wave DFT calculation with PBE-GGA was carried out for a geometry-optimized CaCrP structure.

Structure (POSCAR):
```
CaCrP
1.0
4.005 0.000 0.000
0.000 3.915 0.000
-1.986 0.000 8.078
Ca Cr P
2 2 2
Cartesian
0.000 0.000 0.000 Ca
0.000 1.957 3.076 Ca
0.014 1.957 6.706 Cr
2.004 1.957 5.439 Cr
-0.006 0.000 5.322 P
2.003 1.957 0.987 P
```

Magnetic moment   0.123 μB per atom
E   -0.2209 hartree per atom
Energy relative to the elements   -0.3336 eV per atom
SG   No. 6

[13]
A plane-wave DFT calculation with PBE-GGA was carried out for a geometry-optimized Ca2CrP structure.

Structure (POSCAR):
```
Ca2CrP
1.0
-5.219 5.219 2.277
5.219 -5.219 2.277
5.219 5.219 -2.277
Ca Cr P
4 2 2
Cartesian
0.942 2.610 0.569 Ca
-2.610 4.277 1.708 Ca
-0.942 7.829 0.569 Ca
2.610 6.161 1.708 Ca
5.219 0.000 1.138 Cr
0.000 0.000 2.277 Cr
0.000 0.000 0.000 P
0.000 5.219 1.138 P
```

Magnetic moment   0.750 μB per atom
E   -0.1796 hartree per atom
Energy relative to the elements   -0.1273 eV per atom
SG   No. 122

[14]
A plane-wave DFT calculation with PBE-GGA was carried out for a geometry-optimized RbCaCr2P structure.

Structure (POSCAR):
```
RbCaCr2P
1.0
4.460 0.000 0.000
0.000 4.460 0.000
0.000 0.000 5.567
Rb Ca Cr P
1 1 2 1
Cartesian
0.000 0.000 0.000 Rb
2.230 2.230 0.000 Ca
0.000 2.230 2.784 Cr
2.230 0.000 2.784 Cr
2.230 2.230 2.784 P
```

Magnetic moment   0.000 μB per atom
E   -0.1744 hartree per atom
Energy relative to the elements   0.7791 eV per atom
SG   No. 123

[15]
A plane-wave DFT calculation with PBE-GGA was carried out for a geometry-optimized CaCrP2Rh structure.

Structure (POSCAR):
```
CaCrP2Rh
1.0
-2.012 2.012 4.958
2.012 -2.012 4.958
2.012 2.012 -4.958
Ca Cr P Rh
1 1 2 1
Cartesian
0.000 0.000 0.000 Ca
2.012 0.000 2.479 Cr
0.000 0.000 3.696 P
0.000 0.000 6.221 P
0.000 2.012 2.479 Rh
```

Magnetic moment   0.316 μB per atom
E   -0.2497 hartree per atom
Energy relative to the elements   -0.8343 eV per atom
SG   No. 119

[16]
A plane-wave DFT calculation with PBE-GGA was carried out for a geometry-optimized CaCrP2S structure.

Structure (POSCAR):
```
CaCrP2S
1.0
5.166 0.000 0.000
0.000 5.166 0.000
0.000 0.000 5.081
Ca Cr P S
1 1 2 1
Cartesian
0.000 0.000 0.000 Ca
2.583 2.583 2.540 Cr
0.000 2.583 0.000 P
2.583 0.000 0.000 P
0.000 0.000 2.540 S
```

Magnetic moment   0.759 μB per atom
E   -0.1582 hartree per atom
Energy relative to the lowest polymorph listed for this composition   1.4174 eV per atom
Raw formation energy   97 kJ per mole of atoms
SG   No. 123

[17]
A plane-wave DFT calculation with PBE-GGA was carried out for a geometry-optimized CaCrP2S structure.

Structure (POSCAR):
```
CaCrP2S
1.0
4.324 0.000 0.000
0.000 4.324 0.000
0.000 0.000 5.360
Ca Cr P S
1 1 2 1
Cartesian
0.000 0.000 0.000 Ca
2.162 2.162 2.680 Cr
0.000 2.162 2.680 P
2.162 0.000 2.680 P
2.162 2.162 0.000 S
```

Magnetic moment   0.179 μB per atom
E   -0.2103 hartree per atom
Energy relative to the lowest polymorph listed for this composition   0.0000 eV per atom
Raw formation energy   -39 kJ per mole of atoms
SG   No. 123

[18]
A plane-wave DFT calculation with PBE-GGA was carried out for a geometry-optimized CaCrP2S8 structure.

Structure (POSCAR):
```
CaCrP2S8
1.0
5.834 0.000 0.000
-2.917 5.052 0.000
0.000 0.000 8.376
Ca Cr P S
1 1 2 8
Cartesian
0.000 0.000 0.000 Ca
0.000 0.000 4.188 Cr
0.000 3.368 6.172 P
2.917 1.684 2.205 P
-1.964 3.465 2.709 S
0.898 1.619 2.709 S
1.851 0.032 5.667 S
0.000 3.368 8.196 S
2.917 1.684 0.181 S
1.066 5.021 2.709 S
2.019 3.433 5.667 S
4.881 1.587 5.667 S
```

Magnetic moment   0.164 μB per atom
E   -0.1877 hartree per atom
Raw formation energy   -47 kJ per mole of atoms
SG   No. 147

[19]
A plane-wave DFT calculation with PBE-GGA was carried out for a geometry-optimized CaScCrP2 structure.

Structure (POSCAR):
```
CaScCrP2
1.0
5.020 0.000 0.000
0.000 5.020 0.000
0.000 0.000 4.237
Ca Sc Cr P
1 1 1 2
Cartesian
0.000 0.000 0.000 Ca
2.510 2.510 2.118 Sc
0.000 0.000 2.118 Cr
0.000 2.510 0.000 P
2.510 0.000 0.000 P
```

Magnetic moment   0.000 μB per atom
E   -0.1671 hartree per atom
Energy relative to the elements   1.2089 eV per atom
SG   No. 123

[20]
A plane-wave DFT calculation with PBE-GGA was carried out for a geometry-optimized CaZnCr2P structure.

Structure (POSCAR):
```
CaZnCr2P
1.0
4.466 0.000 0.000
0.000 4.466 0.000
0.000 0.000 5.325
Ca Zn Cr P
1 1 2 1
Cartesian
0.000 0.000 0.000 Ca
2.233 2.233 0.000 Zn
0.000 2.233 2.663 Cr
2.233 0.000 2.663 Cr
0.000 0.000 2.663 P
```

Magnetic moment   1.110 μB per atom
E   -0.1949 hartree per atom
Energy relative to the elements   0.2821 eV per atom
SG   No. 123

[21]
A plane-wave DFT calculation with PBE-GGA was carried out for a geometry-optimized CaPa2CrS8 structure.

Structure (POSCAR):
```
CaPa2CrS8
1.0
6.024 0.000 0.000
0.000 8.170 0.000
-0.181 0.000 6.062
Ca Pa Cr S
1 2 1 8
Cartesian
0.000 0.000 0.000 Ca
2.921 2.083 3.031 Pa
2.921 6.087 3.031 Pa
0.000 4.085 0.000 Cr
1.159 2.363 1.149 S
1.159 5.807 1.149 S
1.586 4.085 4.288 S
1.721 0.000 4.108 S
4.122 0.000 1.954 S
4.257 4.085 1.774 S
4.684 2.363 4.913 S
4.684 5.807 4.913 S
```

Magnetic moment   0.193 μB per atom
E   -0.2400 hartree per atom
Raw formation energy   -118 kJ per mole of atoms
SG   No. 10

[22]
A plane-wave DFT calculation with PBE-GGA was carried out for a geometry-optimized Ca2PaCrS6 structure.

Structure (POSCAR):
```
Ca2PaCrS6
1.0
6.579 0.000 0.000
0.000 7.002 0.000
-6.289 0.000 9.573
Ca Pa Cr S
4 2 2 12
Cartesian
-0.132 0.605 2.321 Ca
-3.277 2.896 7.107 Ca
3.567 4.107 2.466 Ca
0.423 6.397 7.253 Ca
3.290 0.000 0.000 Pa
0.145 3.501 4.787 Pa
-3.144 0.000 4.787 Cr
0.000 3.501 0.000 Cr
-5.134 1.432 9.026 S
-1.990 2.069 4.240 S
-4.330 4.792 9.001 S
-1.186 5.711 4.215 S
-2.316 0.210 7.052 S
0.828 3.292 2.265 S
-0.537 3.711 7.308 S
2.607 6.793 2.521 S
1.476 1.291 5.359 S
4.621 2.210 0.572 S
2.280 4.933 5.334 S
5.425 5.570 0.547 S
```

Magnetic moment   0.300 μB per atom
E   -0.2324 hartree per atom
Raw formation energy   -148 kJ per mole of atoms
SG   No. 14

[23]
A plane-wave DFT calculation with PBE-GGA was carried out for a geometry-optimized CaPaCrS6 structure.

Structure (POSCAR):
```
CaPaCrS6
1.0
6.527 0.000 0.000
-3.264 5.653 0.000
0.000 0.000 5.637
Ca Pa Cr S
1 1 1 6
Cartesian
0.000 0.000 0.000 Ca
3.264 1.884 2.818 Pa
0.000 3.768 0.000 Cr
-1.069 2.176 1.379 S
-1.913 3.639 4.258 S
1.069 2.176 4.258 S
-0.845 5.490 1.379 S
1.913 3.639 1.379 S
0.845 5.490 4.258 S
```

Magnetic moment   0.126 μB per atom
E   -0.2240 hartree per atom
Raw formation energy   -96 kJ per mole of atoms
SG   No. 149

[24]
A plane-wave DFT calculation with PBE-GGA was carried out for a geometry-optimized CaCrPb2 structure.

Structure (POSCAR):
```
CaCrPb2
1.0
3.353 -4.457 0.000
3.353 4.457 0.000
0.000 0.000 3.532
Ca Cr Pb
1 1 2
Cartesian
0.000 0.000 0.000 Ca
3.353 0.000 0.000 Cr
1.677 2.229 1.766 Pb
1.677 -2.229 1.766 Pb
```

Magnetic moment   1.078 μB per atom
E   -0.1709 hartree per atom
Energy relative to the elements   0.1093 eV per atom
SG   No. 65

[25]
A plane-wave DFT calculation with PBE-GGA was carried out for a geometry-optimized CaCr2Pb structure.

Structure (POSCAR):
```
CaCr2Pb
1.0
4.527 0.000 0.000
0.000 4.527 0.000
0.000 0.000 4.371
Ca Cr Pb
1 2 1
Cartesian
0.000 0.000 0.000 Ca
0.000 2.263 2.186 Cr
2.263 0.000 2.186 Cr
2.263 2.263 0.000 Pb
```

Magnetic moment   1.963 μB per atom
E   -0.2114 hartree per atom
Energy relative to the elements   0.4863 eV per atom
SG   No. 123

[26]
A plane-wave DFT calculation with PBE-GGA was carried out for a geometry-optimized CaCrPb2 structure.

Structure (POSCAR):
```
CaCrPb2
1.0
1.802 1.041 10.248
-1.802 1.041 10.248
0.000 -2.081 10.248
Ca Cr Pb
1 1 2
Cartesian
0.000 0.000 0.000 Ca
0.000 0.000 7.729 Cr
0.000 0.000 15.788 Pb
0.000 0.000 23.278 Pb
```

Magnetic moment   1.101 μB per atom
E   -0.1607 hartree per atom
Energy relative to the elements   0.3863 eV per atom
SG   No. 160